[1]
DFT (PBE with a Hubbard U) results for crystalline Li7Mo4P9O32 at its relaxed geometry.

Properties
uncorrected energy = -725.184 eV for the cell shown
symmetry = No. 114
theoretical density = 3.1 g/cm3

a b c (Å): 6.610 14.141 14.141
angles (deg): 90.00 90.00 90.00
Last column: magnetic moment on the atom in μB.
Element x y z (fractional)
1 Li 0.000 0.000 0.000  0.00
2 Li 0.128 0.500 0.000  0.00
3 Li 0.628 0.500 0.000  0.00
4 Li 0.790 0.745 0.114  0.00
5 Li 0.290 0.614 0.245  0.00
6 Li 0.210 0.114 0.255  0.00
7 Li 0.710 0.245 0.386  0.00
8 Li 0.372 0.000 0.500  0.00
9 Li 0.872 0.000 0.500  0.00
10 Li 0.500 0.500 0.500  0.00
11 Li 0.710 0.755 0.614  0.00
12 Li 0.210 0.886 0.745  0.00
13 Li 0.290 0.386 0.755  0.00
14 Li 0.790 0.255 0.886  0.00
15 Mo 0.620 0.199 0.121  2.76
16 Mo 0.380 0.879 0.199  2.76
17 Mo 0.120 0.379 0.301  2.76
18 Mo 0.880 0.699 0.379  2.76
19 Mo 0.880 0.301 0.621  2.76
20 Mo 0.120 0.621 0.699  2.76
21 Mo 0.380 0.121 0.801  2.76
22 Mo 0.620 0.801 0.879  2.76
23 P 0.381 0.310 0.940  0.01
24 P 0.129 0.752 0.898  0.01
25 P 0.881 0.440 0.810  0.01
26 P 0.871 0.102 0.752  0.01
27 P 0.629 0.602 0.748  0.01
28 P 0.619 0.940 0.690  0.01
29 P 0.371 0.252 0.602  0.01
30 P 0.119 0.810 0.560  0.01
31 P 0.500 0.000 0.000  0.01
32 P 0.381 0.690 0.060  0.01
33 P 0.129 0.248 0.102  0.01
34 P 0.881 0.560 0.190  0.01
35 P 0.871 0.898 0.248  0.01
36 P 0.000 0.500 0.500  0.01
37 P 0.619 0.060 0.310  0.01
38 P 0.371 0.748 0.398  0.01
39 P 0.119 0.190 0.440  0.01
40 P 0.629 0.398 0.252  0.01
41 O 0.118 0.916 0.554  0.00
42 O 0.570 0.260 0.981  0.01
43 O 0.355 0.062 0.940  0.01
44 O 0.382 0.416 0.946  0.00
45 O 0.645 0.940 0.938  0.01
46 O 0.882 0.446 0.916  0.00
47 O 0.937 0.811 0.903  0.01
48 O 0.111 0.658 0.847  0.01
49 O 0.181 0.730 0.007  0.00
50 O 0.570 0.740 0.019  0.01
51 O 0.355 0.938 0.060  0.01
52 O 0.382 0.584 0.054  0.00
53 O 0.645 0.060 0.062  0.01
54 O 0.882 0.554 0.084  0.00
55 O 0.937 0.189 0.097  0.01
56 O 0.299 0.185 0.142  0.01
57 O 0.111 0.342 0.153  0.01
58 O 0.611 0.347 0.158  0.01
59 O 0.350 0.727 0.163  0.00
60 O 0.701 0.858 0.185  0.01
61 O 0.063 0.903 0.189  0.01
62 O 0.850 0.663 0.227  0.00
63 O 0.681 0.507 0.230  0.00
64 O 0.070 0.519 0.240  0.01
65 O 0.430 0.019 0.260  0.01
66 O 0.819 0.007 0.270  0.00
67 O 0.650 0.163 0.273  0.00
68 O 0.437 0.403 0.311  0.01
69 O 0.799 0.358 0.315  0.01
70 O 0.150 0.227 0.337  0.00
71 O 0.889 0.847 0.342  0.01
72 O 0.389 0.842 0.347  0.01
73 O 0.201 0.685 0.358  0.01
74 O 0.563 0.689 0.403  0.01
75 O 0.618 0.054 0.416  0.00
76 O 0.855 0.560 0.438  0.01
77 O 0.118 0.084 0.446  0.00
78 O 0.145 0.438 0.440  0.01
79 O 0.930 0.240 0.481  0.01
80 O 0.319 0.230 0.493  0.00
81 O 0.319 0.770 0.507  0.00
82 O 0.930 0.760 0.519  0.01
83 O 0.145 0.562 0.560  0.01
84 O 0.181 0.270 0.993  0.00
85 O 0.855 0.440 0.562  0.01
86 O 0.618 0.946 0.584  0.00
87 O 0.563 0.311 0.597  0.01
88 O 0.201 0.315 0.642  0.01
89 O 0.389 0.158 0.653  0.01
90 O 0.889 0.153 0.658  0.01
91 O 0.150 0.773 0.663  0.00
92 O 0.799 0.642 0.685  0.01
93 O 0.437 0.597 0.689  0.01
94 O 0.650 0.837 0.727  0.00
95 O 0.819 0.993 0.730  0.00
96 O 0.430 0.981 0.740  0.01
97 O 0.070 0.481 0.760  0.01
98 O 0.681 0.493 0.770  0.00
99 O 0.850 0.337 0.773  0.00
100 O 0.063 0.097 0.811  0.01
101 O 0.701 0.142 0.815  0.01
102 O 0.350 0.273 0.837  0.00
103 O 0.611 0.653 0.842  0.01
104 O 0.299 0.815 0.858  0.01


[2]
DFT (PBE with a Hubbard U) results for crystalline LiMo2P3O12 at its relaxed geometry.

Properties
symmetry = No. 57
polymorph energy (0 for the lowest one) = 92 kJ/mol of formula units
theoretical density = 3.1 g/cm3

a b c (Å): 9.059 9.268 12.417
angles (deg): 90.00 90.00 90.00
Last column: magnetic moment on the atom in μB.
Element x y z (fractional)
1 Li 0.125 0.707 0.750  0.00
2 Li 0.875 0.293 0.250  0.00
3 Li 0.125 0.793 0.250  0.00
4 Li 0.875 0.207 0.750  0.00
5 Mo 0.752 0.525 0.401  2.01
6 Mo 0.248 0.475 0.599  2.01
7 Mo 0.248 0.025 0.099  2.01
8 Mo 0.752 0.525 0.099  2.01
9 Mo 0.752 0.975 0.901  2.01
10 Mo 0.752 0.975 0.599  2.01
11 Mo 0.248 0.025 0.401  2.01
12 Mo 0.248 0.475 0.901  2.01
13 P 0.033 0.750 0.500  0.01
14 P 0.598 0.630 0.632  0.01
15 P 0.402 0.370 0.368  0.01
16 P 0.967 0.250 0.000  0.01
17 P 0.402 0.370 0.132  0.01
18 P 0.598 0.870 0.132  0.01
19 P 0.402 0.130 0.632  0.01
20 P 0.033 0.750 0.000  0.01
21 P 0.402 0.130 0.868  0.01
22 P 0.598 0.630 0.868  0.01
23 P 0.598 0.870 0.368  0.01
24 P 0.967 0.250 0.500  0.01
25 O 0.373 0.209 0.121  0.01
26 O 0.207 0.486 0.750  -0.26
27 O 0.373 0.291 0.879  0.01
28 O 0.652 0.580 0.750  0.00
29 O 0.058 0.142 0.066  0.02
30 O 0.793 0.514 0.250  -0.26
31 O 0.627 0.791 0.879  0.01
32 O 0.058 0.142 0.434  0.02
33 O 0.870 0.172 0.914  0.01
34 O 0.303 0.036 0.561  -0.01
35 O 0.627 0.709 0.121  0.01
36 O 0.870 0.328 0.086  0.01
37 O 0.566 0.102 0.879  0.01
38 O 0.058 0.358 0.566  0.02
39 O 0.348 0.420 0.250  0.00
40 O 0.697 0.536 0.939  -0.01
41 O 0.434 0.898 0.121  0.01
42 O 0.870 0.328 0.414  0.01
43 O 0.434 0.602 0.621  0.01
44 O 0.697 0.964 0.439  -0.01
45 O 0.566 0.102 0.621  0.01
46 O 0.697 0.536 0.561  -0.01
47 O 0.130 0.672 0.586  0.01
48 O 0.652 0.920 0.250  0.00
49 O 0.566 0.398 0.379  0.01
50 O 0.942 0.858 0.934  0.02
51 O 0.793 0.986 0.750  -0.26
52 O 0.942 0.858 0.566  0.02
53 O 0.130 0.672 0.914  0.01
54 O 0.130 0.828 0.414  0.01
55 O 0.348 0.080 0.750  0.00
56 O 0.566 0.398 0.121  0.01
57 O 0.434 0.602 0.879  0.01
58 O 0.942 0.642 0.434  0.02
59 O 0.303 0.036 0.939  -0.01
60 O 0.058 0.358 0.934  0.02
61 O 0.303 0.464 0.061  -0.01
62 O 0.373 0.209 0.379  0.01
63 O 0.434 0.898 0.379  0.01
64 O 0.870 0.172 0.586  0.01
65 O 0.627 0.791 0.621  0.01
66 O 0.130 0.828 0.086  0.01
67 O 0.942 0.642 0.066  0.02
68 O 0.207 0.014 0.250  -0.26
69 O 0.697 0.964 0.061  -0.01
70 O 0.627 0.709 0.379  0.01
71 O 0.303 0.464 0.439  -0.01
72 O 0.373 0.291 0.621  0.01


[3]
DFT (PBE with a Hubbard U) results for crystalline LiMo2P3O12 at its relaxed geometry.

Properties
symmetry = No. 14
polymorph energy (0 for the lowest one) = 0 kJ/mol of formula units
theoretical density = 3.4 g/cm3

a b c (Å): 8.670 8.943 12.291
angles (deg): 90.00 90.91 90.00
Last column: magnetic moment on the atom in μB.
Element x y z (fractional)
1 Li 0.809 0.776 0.823  0.00
2 Li 0.691 0.276 0.677  0.00
3 Li 0.309 0.724 0.323  0.00
4 Li 0.191 0.224 0.177  0.00
5 Mo 0.751 0.533 0.380  1.88
6 Mo 0.758 0.959 0.613  1.89
7 Mo 0.749 0.033 0.120  1.88
8 Mo 0.742 0.459 0.887  1.89
9 Mo 0.258 0.541 0.113  1.89
10 Mo 0.251 0.967 0.880  1.88
11 Mo 0.242 0.041 0.387  1.89
12 Mo 0.249 0.467 0.620  1.88
13 P 0.036 0.749 0.493  0.01
14 P 0.104 0.615 0.852  0.01
15 P 0.111 0.895 0.144  0.01
16 P 0.389 0.395 0.356  0.01
17 P 0.396 0.115 0.648  0.01
18 P 0.464 0.249 0.007  0.01
19 P 0.536 0.751 0.993  0.01
20 P 0.604 0.885 0.352  0.01
21 P 0.964 0.251 0.507  0.01
22 P 0.896 0.385 0.148  0.01
23 P 0.611 0.605 0.644  0.01
24 P 0.889 0.105 0.856  0.01
25 O 0.684 0.556 0.537  0.00
26 O 0.066 0.113 0.867  0.00
27 O 0.080 0.316 0.592  -0.01
28 O 0.072 0.420 0.164  0.00
29 O 0.096 0.634 0.574  0.03
30 O 0.180 0.744 0.183  0.01
31 O 0.151 0.577 0.970  0.01
32 O 0.157 0.017 0.230  -0.01
33 O 0.952 0.873 0.560  0.00
34 O 0.934 0.887 0.133  0.00
35 O 0.920 0.684 0.408  -0.01
36 O 0.928 0.580 0.836  0.00
37 O 0.904 0.366 0.426  0.03
38 O 0.884 0.217 0.172  0.02
39 O 0.849 0.423 0.030  0.01
40 O 0.843 0.983 0.770  -0.01
41 O 0.820 0.256 0.817  0.01
42 O 0.831 0.178 0.571  0.01
43 O 0.802 0.487 0.224  0.00
44 O 0.816 0.056 0.963  0.00
45 O 0.698 0.987 0.276  0.00
46 O 0.048 0.127 0.440  0.00
47 O 0.669 0.678 0.929  0.01
48 O 0.680 0.756 0.683  0.01
49 O 0.657 0.483 0.730  -0.01
50 O 0.651 0.923 0.470  0.01
51 O 0.616 0.717 0.328  0.02
52 O 0.596 0.866 0.074  0.03
53 O 0.580 0.184 0.092  -0.01
54 O 0.572 0.080 0.664  0.00
55 O 0.566 0.387 0.367  0.00
56 O 0.548 0.373 0.940  0.00
57 O 0.452 0.627 0.060  0.00
58 O 0.434 0.613 0.633  0.00
59 O 0.428 0.920 0.336  0.00
60 O 0.420 0.816 0.908  -0.01
61 O 0.404 0.134 0.926  0.03
62 O 0.384 0.283 0.672  0.02
63 O 0.349 0.077 0.530  0.01
64 O 0.343 0.517 0.270  -0.01
65 O 0.320 0.244 0.317  0.01
66 O 0.331 0.322 0.071  0.01
67 O 0.316 0.444 0.463  0.00
68 O 0.302 0.013 0.724  0.00
69 O 0.184 0.944 0.037  0.00
70 O 0.198 0.513 0.776  0.00
71 O 0.169 0.822 0.429  0.01
72 O 0.116 0.783 0.828  0.02


[4]
DFT (PBE with a Hubbard U) results for crystalline LiMoP2O8 at its relaxed geometry.

Properties
symmetry = No. 14
polymorph energy (0 for the lowest one) = 66 kJ/mol of formula units
theoretical density = 3.2 g/cm3

a b c (Å): 8.390 5.090 7.147
angles (deg): 81.40 90.00 90.00
Last column: magnetic moment on the atom in μB.
Element x y z (fractional)
1 Li 0.500 0.000 0.000  0.00
2 Li 0.000 0.500 0.500  0.00
3 Mo 0.500 0.000 0.500  1.02
4 Mo 0.000 0.500 0.000  1.02
5 P 0.180 0.933 0.235  0.01
6 P 0.680 0.567 0.265  0.01
7 P 0.820 0.067 0.765  0.01
8 P 0.320 0.433 0.735  0.01
9 O 0.364 0.963 0.266  0.01
10 O 0.097 0.822 0.412  -0.01
11 O 0.636 0.037 0.734  0.01
12 O 0.903 0.178 0.588  -0.01
13 O 0.117 0.224 0.153  -0.03
14 O 0.617 0.276 0.347  -0.03
15 O 0.841 0.226 0.935  0.01
16 O 0.341 0.274 0.565  0.01
17 O 0.403 0.322 0.912  -0.01
18 O 0.136 0.463 0.766  0.01
19 O 0.864 0.537 0.234  0.01
20 O 0.597 0.678 0.088  -0.01
21 O 0.659 0.726 0.435  0.01
22 O 0.159 0.774 0.065  0.01
23 O 0.383 0.724 0.653  -0.03
24 O 0.883 0.776 0.847  -0.03


[5]
DFT (PBE with a Hubbard U) results for crystalline LiMo2P3O12 at its relaxed geometry.

Properties
symmetry = No. 2
polymorph energy (0 for the lowest one) = 2 kJ/mol of formula units
theoretical density = 3.3 g/cm3

a b c (Å): 8.613 8.673 9.023
angles (deg): 90.60 118.17 119.16
Last column: magnetic moment on the atom in μB.
Element x y z (fractional)
1 Li 0.352 0.814 0.587  0.00
2 Li 0.648 0.186 0.413  0.00
3 Mo 0.799 0.141 0.931  1.88
4 Mo 0.796 0.646 0.436  1.88
5 Mo 0.204 0.354 0.564  1.88
6 Mo 0.201 0.859 0.069  1.88
7 P 0.990 0.457 0.744  0.01
8 P 0.289 0.260 0.245  0.01
9 P 0.718 0.975 0.253  0.01
10 P 0.282 0.025 0.747  0.01
11 P 0.010 0.543 0.256  0.01
12 P 0.711 0.740 0.755  0.01
13 O 0.355 0.120 0.255  0.01
14 O 0.825 0.456 0.564  0.00
15 O 0.084 0.612 0.901  0.03
16 O 0.855 0.261 0.753  0.00
17 O 0.645 0.880 0.745  0.01
18 O 0.175 0.544 0.436  0.00
19 O 0.916 0.388 0.099  0.03
20 O 0.145 0.739 0.247  0.00
21 O 0.500 0.086 0.780  0.00
22 O 0.910 0.809 0.943  0.00
23 O 0.829 0.528 0.267  0.00
24 O 0.130 0.836 0.598  0.01
25 O 0.534 0.545 0.721  0.03
26 O 0.224 0.250 0.380  0.00
27 O 0.282 0.007 0.917  0.00
28 O 0.228 0.167 0.689  0.01
29 O 0.772 0.833 0.311  0.01
30 O 0.718 0.993 0.083  0.00
31 O 0.776 0.750 0.620  0.00
32 O 0.466 0.455 0.279  0.03
33 O 0.870 0.164 0.402  0.01
34 O 0.171 0.472 0.733  0.00
35 O 0.090 0.191 0.057  0.00
36 O 0.500 0.914 0.220  0.00


[6]
DFT (PBE with a Hubbard U) results for crystalline Li3Mo3P3O17 at its relaxed geometry.

Properties
uncorrected energy = -720.675 eV for the cell shown
symmetry = No. 2
theoretical density = 3.4 g/cm3

a b c (Å): 8.430 12.155 12.997
angles (deg): 89.87 89.87 82.79
Last column: magnetic moment on the atom in μB.
Element x y z (fractional)
1 Li 0.363 0.866 0.625  0.00
2 Li 0.637 0.134 0.375  0.00
3 Li 0.215 0.308 0.567  0.00
4 Li 0.649 0.792 0.254  0.00
5 Li 0.853 0.209 0.755  0.00
6 Li 0.288 0.693 0.066  0.00
7 Li 0.865 0.867 0.873  0.00
8 Li 0.135 0.133 0.127  0.00
9 Li 0.785 0.692 0.433  0.00
10 Li 0.712 0.307 0.934  0.00
11 Li 0.351 0.208 0.746  0.00
12 Li 0.147 0.791 0.245  0.00
13 Mo 0.848 0.605 0.871  0.14
14 Mo 0.811 0.479 0.617  0.94
15 Mo 0.653 0.396 0.370  0.13
16 Mo 0.253 0.014 0.385  1.03
17 Mo 0.152 0.395 0.129  0.14
18 Mo 0.248 0.985 0.885  1.03
19 Mo 0.314 0.478 0.882  0.95
20 Mo 0.686 0.522 0.118  0.95
21 Mo 0.347 0.604 0.630  0.13
22 Mo 0.189 0.521 0.383  0.94
23 Mo 0.747 0.986 0.615  1.03
24 Mo 0.752 0.015 0.115  1.03
25 P 0.060 0.274 0.349  0.01
26 P 0.560 0.273 0.155  0.01
27 P 0.144 0.054 0.638  0.01
28 P 0.856 0.946 0.362  0.01
29 P 0.440 0.727 0.845  0.01
30 P 0.099 0.264 0.908  0.01
31 P 0.596 0.266 0.594  0.01
32 P 0.356 0.945 0.139  0.01
33 P 0.644 0.055 0.861  0.01
34 P 0.404 0.734 0.406  0.01
35 P 0.940 0.726 0.651  0.01
36 P 0.901 0.736 0.092  0.01
37 O 0.449 0.449 0.366  -0.01
38 O 0.163 0.354 0.407  0.01
39 O 0.570 0.692 0.370  0.00
40 O 0.873 0.735 0.973  0.01
41 O 0.949 0.449 0.114  -0.01
42 O 0.925 0.075 0.097  -0.09
43 O 0.268 0.024 0.224  0.01
44 O 0.805 0.830 0.359  0.00
45 O 0.897 0.842 0.605  0.01
46 O 0.722 0.477 0.476  -0.01
47 O 0.620 0.694 0.848  0.00
48 O 0.274 0.669 0.353  0.01
49 O 0.930 0.306 0.876  0.00
50 O 0.103 0.158 0.395  0.01
51 O 0.884 0.310 0.369  0.00
52 O 0.806 0.516 0.764  -0.02
53 O 0.509 0.417 0.885  -0.08
54 O 0.385 0.730 0.526  0.01
55 O 0.858 0.856 0.131  0.01
56 O 0.430 0.308 0.630  0.00
57 O 0.202 0.987 0.539  0.01
58 O 0.718 0.479 0.263  -0.02
59 O 0.642 0.145 0.630  0.02
60 O 0.070 0.694 0.124  0.00
61 O 0.491 0.583 0.115  -0.08
62 O 0.601 0.159 0.104  0.01
63 O 0.381 0.733 0.731  0.01
64 O 0.351 0.642 0.908  0.01
65 O 0.127 0.265 0.027  0.01
66 O 0.380 0.306 0.152  0.00
67 O 0.051 0.551 0.886  -0.01
68 O 0.142 0.144 0.869  0.01
69 O 0.726 0.331 0.647  0.01
70 O 0.075 0.925 0.903  -0.09
71 O 0.426 0.074 0.402  -0.09
72 O 0.540 0.938 0.153  0.00
73 O 0.701 0.988 0.962  0.01
74 O 0.278 0.523 0.524  -0.01
75 O 0.619 0.267 0.269  0.01
76 O 0.902 0.729 0.768  0.01
77 O 0.753 0.532 0.973  -0.01
78 O 0.574 0.926 0.598  -0.09
79 O 0.960 0.062 0.653  0.00
80 O 0.098 0.271 0.232  0.01
81 O 0.551 0.551 0.634  -0.01
82 O 0.460 0.062 0.847  0.00
83 O 0.299 0.012 0.038  0.01
84 O 0.195 0.170 0.641  0.00
85 O 0.798 0.013 0.461  0.01
86 O 0.732 0.976 0.776  0.01
87 O 0.775 0.670 0.147  0.01
88 O 0.994 0.580 0.398  -0.08
89 O 0.006 0.420 0.602  -0.08
90 O 0.399 0.841 0.896  0.01
91 O 0.615 0.270 0.474  0.01
92 O 0.837 0.646 0.593  0.01
93 O 0.247 0.468 0.027  -0.01
94 O 0.194 0.484 0.236  -0.02
95 O 0.116 0.690 0.631  0.00
96 O 0.040 0.938 0.347  0.00
97 O 0.225 0.330 0.853  0.01
98 O 0.768 0.023 0.276  0.01
99 O 0.358 0.855 0.370  0.02
100 O 0.282 0.521 0.737  -0.02
101 O 0.305 0.830 0.142  0.00
102 O 0.649 0.358 0.092  0.01
103 O 0.232 0.977 0.724  0.01
104 O 0.695 0.170 0.858  0.00